# 1
Ce2CdNi3As4 | Alexandria via LeMat-Bulk | PBE | relaxed; M_tot = 1.4 μB/cell; energy of formation from the pure elements = -676.3 meV per atom; SG = No. 115; DOS at the Fermi energy = 1.36 states/eV per atom
1.0
4.297 0.000 0.000
0.000 4.297 0.000
0.000 0.000 9.892
Ce Cd Ni As
2 1 3 4
direct
0.000 0.500 0.231 Ce
0.500 0.000 0.769 Ce
0.000 0.000 0.500 Cd
0.000 0.500 0.894 Ni
0.500 0.000 0.106 Ni
0.500 0.500 0.500 Ni
0.000 0.000 0.000 As
0.000 0.500 0.657 As
0.500 0.000 0.343 As
0.500 0.500 0.000 As


# 2
CeCd2As2Pd7 | Alexandria via LeMat-Bulk | PBE | relaxed; M_tot = 0.4 μB/cell; energy of formation from the pure elements = -411.3 meV per atom; SG = No. 12; DOS at the Fermi energy = 0.74 states/eV per atom
1.0
2.852 -2.833 0.000
2.852 2.833 0.000
-2.183 0.000 14.412
Ce Cd As Pd
1 2 2 7
direct
0.000 0.000 0.000 Ce
0.110 0.110 0.401 Cd
0.890 0.890 0.599 Cd
0.403 0.403 0.744 As
0.597 0.597 0.256 As
0.058 0.558 0.152 Pd
0.379 0.379 0.577 Pd
0.442 0.942 0.848 Pd
0.500 0.500 0.000 Pd
0.558 0.058 0.152 Pd
0.621 0.621 0.423 Pd
0.942 0.442 0.848 Pd


# 3
Ce2CdAs4Rh3 | Alexandria via LeMat-Bulk | PBE | relaxed; M_tot = 1.1 μB/cell; energy of formation from the pure elements = -777.4 meV per atom; SG = No. 115; DOS at the Fermi energy = 1.13 states/eV per atom
1.0
4.345 0.000 0.000
0.000 4.345 0.000
0.000 0.000 10.290
Ce Cd As Rh
2 1 4 3
direct
0.000 0.500 0.233 Ce
0.500 0.000 0.767 Ce
0.000 0.000 0.500 Cd
0.000 0.000 0.000 As
0.000 0.500 0.651 As
0.500 0.000 0.349 As
0.500 0.500 0.000 As
0.000 0.500 0.887 Rh
0.500 0.000 0.113 Rh
0.500 0.500 0.500 Rh


# 4
Ce2CdAs3Rh4 | Alexandria via LeMat-Bulk | PBE | relaxed; M_tot = 0.5 μB/cell; energy of formation from the pure elements = -810.4 meV per atom; SG = No. 115; DOS at the Fermi energy = 0.79 states/eV per atom
1.0
4.060 0.000 0.000
0.000 4.060 0.000
0.000 0.000 11.360
Ce Cd As Rh
2 1 3 4
direct
0.000 0.500 0.244 Ce
0.500 0.000 0.756 Ce
0.000 0.000 0.500 Cd
0.000 0.500 0.873 As
0.500 0.000 0.127 As
0.500 0.500 0.500 As
0.000 0.000 0.000 Rh
0.000 0.500 0.663 Rh
0.500 0.000 0.337 Rh
0.500 0.500 0.000 Rh


# 5
CdAsCl6 | Alexandria via LeMat-Bulk | PBE | relaxed; M_tot = 0.0 μB/cell; uncorrected formation energy = -5.0 eV/f.u.; SG = No. 12; DOS at the Fermi energy = 0.75 states/eV per atom
1.0
3.177 -6.141 0.000
3.177 6.141 0.000
-2.072 0.000 5.983
Cd As Cl
1 1 6
direct
0.000 0.000 0.000 Cd
0.500 0.500 0.500 As
0.126 0.408 0.264 Cl
0.270 0.270 0.727 Cl
0.408 0.126 0.264 Cl
0.592 0.874 0.736 Cl
0.730 0.730 0.273 Cl
0.874 0.592 0.736 Cl


# 6
Cd3AsCl | Alexandria via LeMat-Bulk | PBE | relaxed; polymorph energy (0 for the lowest one) = 0.0 meV/atom; M_tot = 0.0 μB/cell; uncorrected formation energy = -0.9 eV/f.u.; SG = No. 167; DOS at the Fermi energy = 0.25 states/eV per atom
1.0
3.707 2.141 6.183
-3.707 2.141 6.183
0.000 -4.281 6.183
Cd As Cl
6 2 2
direct
0.134 0.750 0.366 Cd
0.250 0.634 0.866 Cd
0.366 0.134 0.750 Cd
0.634 0.866 0.250 Cd
0.750 0.366 0.134 Cd
0.866 0.250 0.634 Cd
0.000 0.000 0.000 As
0.500 0.500 0.500 As
0.250 0.250 0.250 Cl
0.750 0.750 0.750 Cl


Please write out number 2 again, unchanged.
CeCd2As2Pd7 | Alexandria via LeMat-Bulk | PBE | relaxed; M_tot = 0.4 μB/cell; energy of formation from the pure elements = -411.3 meV per atom; SG = No. 12; DOS at the Fermi energy = 0.74 states/eV per atom
1.0
2.852 -2.833 0.000
2.852 2.833 0.000
-2.183 0.000 14.412
Ce Cd As Pd
1 2 2 7
direct
0.000 0.000 0.000 Ce
0.110 0.110 0.401 Cd
0.890 0.890 0.599 Cd
0.403 0.403 0.744 As
0.597 0.597 0.256 As
0.058 0.558 0.152 Pd
0.379 0.379 0.577 Pd
0.442 0.942 0.848 Pd
0.500 0.500 0.000 Pd
0.558 0.058 0.152 Pd
0.621 0.621 0.423 Pd
0.942 0.442 0.848 Pd


Q: Number 6 is which compound?
A: Cd3AsCl


Q: Look up the DOS at the Fermi energy of the fourth one.
A: 0.79 states/eV per atom


Q: DOS at the Fermi energy of number 1 (Ce2CdNi3As4)?
A: 1.36 states/eV per atom